{
  "formula": "PuCoPdO6",
  "functional": "PBE+U",
  "state": "optimized geometry",
  "cell": [[5.1118, 0.0000, 0.0000], [-2.5559, 4.4269, 0.0000], [0.0000, 0.0000, 9.1140]],
  "species": ["Pu", "Pu", "Co", "Co", "Pd", "Pd", "O", "O", "O", "O", "O", "O", "O", "O", "O", "O", "O", "O"],
  "frac_coords": [[0.3333, 0.6667, 0.2500], [0.6667, 0.3333, 0.7500], [0.3333, 0.6667, 0.7500], [0.6667, 0.3333, 0.2500], [0.0000, 0.0000, 0.0000], [0.0000, 0.0000, 0.5000], [0.0178, 0.3553, 0.6309], [0.0178, 0.6625, 0.8691], [0.3375, 0.3553, 0.8691], [0.3375, 0.9822, 0.6309], [0.3553, 0.0178, 0.1309], [0.3553, 0.3375, 0.3691], [0.6447, 0.6625, 0.6309], [0.6447, 0.9822, 0.8691], [0.6625, 0.0178, 0.3691], [0.6625, 0.6447, 0.1309], [0.9822, 0.3375, 0.1309], [0.9822, 0.6447, 0.3691]],
  "vol_a3_per_cell": 206.2,
  "space_group": "No. 163",
  "dos_ef_per_ev_cell": 12.3,
  "total_energy_ev_per_cell": -133.44
}